Entry from the Alexandria database: an optimized crystal structure of Al3ReS (GGA-PBE). Values from VASP.

## Properties
total DFT energy (no corrections): -4.916 eV per atom
energy above the lowest structure with this stoichiometry: 0.00 eV/f.u.
formation energy without anion corrections: 0.64 eV per atom
calculated volume: 111 Å³/f.u.
symmetry: Pm-3m

```
&SYSTEM
  ibrav = 0, nat = 5, ntyp = 3
/
ATOMIC_SPECIES
Al 26.98 Al.upf
Re 186.21 Re.upf
S 32.06 S.upf
CELL_PARAMETERS angstrom
4.801 0.000 0.000
0.000 4.801 0.000
0.000 0.000 4.801
ATOMIC_POSITIONS angstrom
Al 0.000 0.000 2.400
Al 0.000 2.400 0.000
Al 2.400 0.000 0.000
Re 0.000 0.000 0.000
S 2.400 2.400 2.400
```